VASP calculation (GGA-PBE) on an optimized crystal structure of ScCdGa2.

Structure (CIF):
```
data_ScCdGa2
_chemical_formula_sum 'Sc3 Cd3 Ga6'
_space_group_name_H-M_alt 'R -3 m'
_space_group_IT_number 166
_space_group_name_Hall '-R 3 2"'
_cell_length_a 4.4242
_cell_length_b 4.4242
_cell_length_c 14.1706
_cell_angle_alpha 90.00
_cell_angle_beta 90.00
_cell_angle_gamma 120.00
loop_
_atom_site_label
_atom_site_fract_x
_atom_site_fract_y
_atom_site_fract_z
Sc1 0.0000 0.0000 0.0000
Cd1 0.0000 0.0000 0.5000
Ga1 0.0000 0.0000 0.2385
```

Output
The value obtained for the formation energy from the elements is -0.226 eV per atom. The crystal system is trigonal. The value obtained for the volume is 80.1 Å³/f.u.